! PBE Na6CdIn, relaxed; values from VASP
! E ... -1.484 eV per atom
! ρ ... 2.5 Mg/m³
! Space group ... P-1
! Magnetization ... 0.00 Bohr magnetons per cell
&SYSTEM
  ibrav = 0, nat = 8, ntyp = 3
/
ATOMIC_SPECIES
In 114.82 In.upf
Na 22.99 Na.upf
Cd 112.41 Cd.upf
CELL_PARAMETERS angstrom
8.7274 -0.0214 0.0509
4.3255 7.5838 -0.0628
4.3318 2.5620 3.6099
ATOMIC_POSITIONS crystal
In 0.0000 0.0000 0.0000
Na 0.0004 0.4985 0.2537
Na 0.5001 0.2472 0.2528
Na 0.9996 0.5015 0.7463
Na 0.7523 0.0004 0.7459
Na 0.4999 0.7528 0.7472
Cd 0.5000 0.5000 0.5000
Na 0.2477 0.9996 0.2541